Computed, not measured: a geometry-optimized TiVMoOs structure at the GGA-PBE level of DFT.

Space-group type: P4mm, No. 99
DFT formation energy in meV/atom: -345.0
Energy relative to the lowest polymorph listed for this composition in meV/atom: 39

Structure (extended XYZ):
```
4
Lattice="-1.933 -1.571 1.801 2.120 -0.058 2.225 -2.234 5.349 2.268" Properties=species:S:1:pos:R:3 pbc="T T T"
Ti -1.267 2.443 3.394
V -0.144 -0.246 2.254
Mo -0.780 1.868 0.792
Os -1.929 4.619 1.959
```

Computed, not measured: a geometry-optimized Cs3Ho2BiSe6 structure at the GGA-PBE level of DFT.

Space-group type: C2/m, No. 12
Raw formation energy in meV per atom: -1411

Structure (extended XYZ):
```
12
Lattice="7.453 -0.001 0.001 -3.725 6.455 0.001 -1.242 -2.151 8.358" Properties=species:S:1:pos:R:3 pbc="T T T"
Se 2.552 0.000 1.562
Se -1.275 2.210 1.562
Se 3.761 2.093 6.797
Se -0.066 4.303 6.797
Se 0.034 0.059 6.803
Se 2.451 4.244 1.556
Ho -0.002 4.305 0.001
Ho 3.729 2.150 0.001
Cs -2.510 4.319 4.180
Cs 1.243 2.152 4.180
Cs 4.996 -0.016 4.180
Bi 0.000 0.000 0.000
```

Computed, not measured: a geometry-optimized ReTeRu structure at the GGA-PBE level of DFT.

Space-group type: I4mm, No. 107
Raw formation energy in meV per atom: 528
Energy relative to the lowest polymorph listed for this composition in meV/atom: 5

Structure (extended XYZ):
```
3
Lattice="-0.250 -5.790 1.450 1.990 -4.649 3.179 -1.826 -0.114 2.442" Properties=species:S:1:pos:R:3 pbc="T T T"
Te 0.536 -6.954 3.890
Ru -0.579 -3.727 3.207
Re 1.696 -10.311 4.601
```

Computed, not measured: a geometry-optimized Hf4CoNi3 structure at the GGA-PBE level of DFT.

Space-group type: Pmm2, No. 25
DFT formation energy in meV/atom: -500.7

Structure (extended XYZ):
```
8
Lattice="3.259 0.000 0.000 0.000 4.082 0.000 0.000 0.000 9.731" Properties=species:S:1:pos:R:3 pbc="T T T"
Hf 0.000 0.000 1.357
Hf 1.629 2.041 3.455
Hf 0.000 2.041 8.395
Hf 1.629 0.000 6.237
Ni 1.629 0.000 8.900
Ni 0.000 0.000 4.062
Ni 0.000 2.041 5.678
Co 1.629 2.041 0.837
```

Computed, not measured: a geometry-optimized Li2Pm2YSb2 structure at the GGA-PBE level of DFT.

Space-group type: R-3m, No. 166
Raw formation energy in meV per atom: -589

Structure (extended XYZ):
```
7
Lattice="4.751 0.000 0.000 2.375 4.114 0.000 2.375 1.371 9.076" Properties=species:S:1:pos:R:3 pbc="T T T"
Pm 7.126 4.114 3.511
Pm 2.375 1.371 5.564
Sb 7.126 4.114 7.289
Sb 2.375 1.371 1.787
Li 4.751 2.743 7.218
Li 4.751 2.743 1.858
Y 0.000 0.000 0.000
```

Computed, not measured: a geometry-optimized TbZrRh4 structure at the GGA-PBE level of DFT.

Space-group type: F-43m, No. 216
DFT formation energy in meV/atom: -648.9
Energy relative to the lowest polymorph listed for this composition in meV/atom: 0

Structure (extended XYZ):
```
6
Lattice="5.282 0.000 0.000 2.641 4.575 0.000 2.641 1.525 4.313" Properties=species:S:1:pos:R:3 pbc="T T T"
Rh 5.282 1.525 2.695
Rh 3.962 3.812 2.695
Rh 6.603 3.812 2.695
Rh 5.282 3.050 0.539
Tb 0.000 0.000 0.000
Zr 2.641 1.525 1.078
```

Computed, not measured: a geometry-optimized SrCo2TeSe structure at the GGA-PBE level of DFT.

Space-group type: P4/mmm, No. 123
Raw formation energy in meV per atom: -113

Structure (extended XYZ):
```
5
Lattice="-3.330 0.636 -3.055 1.131 -5.538 -2.387 -3.005 -1.859 2.888" Properties=species:S:1:pos:R:3 pbc="T T T"
Co -1.665 0.318 -1.527
Co -1.502 -0.929 1.444
Sr 0.566 -2.769 -1.193
Se 0.000 0.000 0.000
Te -2.602 -3.380 -1.277
```

Computed, not measured: a geometry-optimized TcAgPd2 structure at the GGA-PBE level of DFT.

Space-group type: P4/mmm, No. 123
DFT formation energy in meV/atom: 22.6
Energy relative to the lowest polymorph listed for this composition in meV/atom: 0

Structure (extended XYZ):
```
4
Lattice="2.781 0.000 0.000 0.000 2.781 0.000 0.000 0.000 8.072" Properties=species:S:1:pos:R:3 pbc="T T T"
Pd 0.000 0.000 2.149
Pd 0.000 0.000 5.922
Ag 1.390 1.390 0.000
Tc 1.390 1.390 4.036
```

Number 1: E -0.372 hartree per atom. Number 2: E -0.164 hartree per atom. Number 3: E -0.285 hartree per atom. Number 4: E -0.314 hartree per atom. Number 5: E -0.169 hartree per atom. Number 6: E -0.285 hartree per atom. Number 7: E -0.170 hartree per atom. Number 8: E -0.216 hartree per atom.